[1]
A geometry-optimized Nd4Fe structure. Source: Alexandria via LeMat-Bulk, functional PBE-GGA.

As for the total energy: -5.303 eV/atom. The calculation puts the volume at 32.0 Å³ per atom. As for the distance to the lowest polymorph of the same formula: 0 meV per atom. The value obtained for the formation energy is 0.2035 eV/atom. The density of states at the Fermi level is 9.828 states/eV/f.u.

```
data_Nd4Fe
_symmetry_space_group_name_H-M 'P 1'
_symmetry_Int_Tables_number 1
_symmetry_space_group_name_Hall 'P 1'
_cell_length_a 5.428
_cell_length_b 5.428
_cell_length_c 5.428
_cell_angle_alpha 90.00
_cell_angle_beta 90.00
_cell_angle_gamma 90.00
loop_
_atom_site_label
_atom_site_fract_x
_atom_site_fract_y
_atom_site_fract_z
Nd1 0.000 0.000 0.000
Nd2 0.500 0.000 0.500
Nd3 0.000 0.500 0.500
Nd4 0.500 0.500 0.000
Fe1 0.500 0.500 0.500
```



[2]
A geometry-optimized Nd2Fe structure. Source: Alexandria via LeMat-Bulk, functional PBE-GGA.

As for the total energy: -5.648 eV/atom. The calculation puts the volume at 27.1 Å³ per atom. The value obtained for the formation energy is 0.3515 eV/atom. The density of states at the Fermi level is 3.889 states/eV/f.u.

```
data_Nd2Fe
_symmetry_space_group_name_H-M 'P 1'
_symmetry_Int_Tables_number 1
_symmetry_space_group_name_Hall 'P 1'
_cell_length_a 7.426
_cell_length_b 7.426
_cell_length_c 7.426
_cell_angle_alpha 41.54
_cell_angle_beta 41.54
_cell_angle_gamma 41.54
loop_
_atom_site_label
_atom_site_fract_x
_atom_site_fract_y
_atom_site_fract_z
Nd1 0.000 0.000 0.000
Nd2 0.500 0.500 0.500
Nd3 0.759 0.759 0.759
Nd4 0.241 0.241 0.241
Fe1 0.633 0.633 0.633
Fe2 0.367 0.367 0.367
```



[3]
A geometry-optimized Nd2Fe structure. Source: Alexandria via LeMat-Bulk, functional PBE-GGA.

As for the total energy: -5.851 eV/atom. The calculation puts the volume at 26.4 Å³ per atom. The value obtained for the formation energy is 0.1489 eV/atom. The density of states at the Fermi level is 4.124 states/eV/f.u.

```
data_Nd2Fe
_symmetry_space_group_name_H-M 'P 1'
_symmetry_Int_Tables_number 1
_symmetry_space_group_name_Hall 'P 1'
_cell_length_a 7.009
_cell_length_b 8.774
_cell_length_c 6.289
_cell_angle_alpha 127.72
_cell_angle_beta 87.49
_cell_angle_gamma 134.64
loop_
_atom_site_label
_atom_site_fract_x
_atom_site_fract_y
_atom_site_fract_z
Nd1 0.579 0.717 0.422
Nd2 0.196 0.588 0.807
Nd3 0.421 0.283 0.578
Nd4 0.804 0.412 0.193
Fe1 0.117 0.993 0.881
Fe2 0.883 0.007 0.119
```



[4]
A geometry-optimized NdFe6 structure. Source: Alexandria via LeMat-Bulk, functional PBE-GGA.

As for the total energy: -7.815 eV/atom. The calculation puts the volume at 14.4 Å³ per atom. As for the distance to the lowest polymorph of the same formula: 0 meV per atom. The value obtained for the formation energy is 0.1196 eV/atom. The density of states at the Fermi level is 7.861 states/eV/f.u.

```
data_NdFe6
_symmetry_space_group_name_H-M 'P 1'
_symmetry_Int_Tables_number 1
_symmetry_space_group_name_Hall 'P 1'
_cell_length_a 4.944
_cell_length_b 7.978
_cell_length_c 10.210
_cell_angle_alpha 90.00
_cell_angle_beta 90.00
_cell_angle_gamma 90.00
loop_
_atom_site_label
_atom_site_fract_x
_atom_site_fract_y
_atom_site_fract_z
Nd1 0.750 0.239 0.938
Nd2 0.250 0.761 0.062
Nd3 0.750 0.739 0.562
Nd4 0.250 0.261 0.438
Fe1 0.750 0.596 0.015
Fe2 0.250 0.404 0.985
Fe3 0.750 0.096 0.485
Fe4 0.250 0.904 0.515
Fe5 0.006 0.437 0.191
Fe6 0.506 0.563 0.809
Fe7 0.494 0.937 0.309
Fe8 0.994 0.063 0.691
Fe9 0.994 0.563 0.809
Fe10 0.494 0.437 0.191
Fe11 0.506 0.063 0.691
Fe12 0.006 0.937 0.309
Fe13 0.250 0.149 0.142
Fe14 0.750 0.851 0.858
Fe15 0.250 0.649 0.358
Fe16 0.750 0.351 0.642
Fe17 0.250 0.810 0.751
Fe18 0.750 0.190 0.249
Fe19 0.250 0.310 0.749
Fe20 0.750 0.690 0.251
Fe21 0.250 0.552 0.599
Fe22 0.750 0.448 0.401
Fe23 0.250 0.052 0.901
Fe24 0.750 0.948 0.099
```



[5]
A geometry-optimized NdFe2 structure. Source: Alexandria via LeMat-Bulk, functional PBE-GGA.

As for the total energy: -7.152 eV/atom. The calculation puts the volume at 17.1 Å³ per atom. The value obtained for the formation energy is 0.0787 eV/atom. The density of states at the Fermi level is 3.437 states/eV/f.u.

```
data_NdFe2
_symmetry_space_group_name_H-M 'P 1'
_symmetry_Int_Tables_number 1
_symmetry_space_group_name_Hall 'P 1'
_cell_length_a 5.256
_cell_length_b 5.256
_cell_length_c 5.256
_cell_angle_alpha 60.00
_cell_angle_beta 60.00
_cell_angle_gamma 60.00
loop_
_atom_site_label
_atom_site_fract_x
_atom_site_fract_y
_atom_site_fract_z
Nd1 0.250 0.250 0.250
Nd2 0.000 0.000 0.000
Fe1 0.625 0.125 0.625
Fe2 0.625 0.625 0.125
Fe3 0.125 0.625 0.625
Fe4 0.625 0.625 0.625
```



[6]
A geometry-optimized NdFe5 structure. Source: Alexandria via LeMat-Bulk, functional PBE-GGA.

As for the total energy: -7.808 eV/atom. The calculation puts the volume at 15.1 Å³ per atom. The value obtained for the formation energy is 0.0386 eV/atom. The density of states at the Fermi level is 6.960 states/eV/f.u.

```
data_NdFe5
_symmetry_space_group_name_H-M 'P 1'
_symmetry_Int_Tables_number 1
_symmetry_space_group_name_Hall 'P 1'
_cell_length_a 5.156
_cell_length_b 5.156
_cell_length_c 3.924
_cell_angle_alpha 90.00
_cell_angle_beta 90.00
_cell_angle_gamma 120.00
loop_
_atom_site_label
_atom_site_fract_x
_atom_site_fract_y
_atom_site_fract_z
Nd1 0.000 0.000 0.000
Fe1 0.333 0.667 0.000
Fe2 0.667 0.333 0.000
Fe3 0.500 0.000 0.500
Fe4 0.500 0.500 0.500
Fe5 0.000 0.500 0.500
```



[7]
A geometry-optimized Nd2FeNi structure. Source: Alexandria via LeMat-Bulk, functional PBE-GGA.

As for the total energy: -5.325 eV/atom. The calculation puts the volume at 24.9 Å³ per atom. The value obtained for the formation energy is 0.6198 eV/atom. The density of states at the Fermi level is 4.616 states/eV/f.u.

```
data_Nd2FeNi
_symmetry_space_group_name_H-M 'P 1'
_symmetry_Int_Tables_number 1
_symmetry_space_group_name_Hall 'P 1'
_cell_length_a 3.558
_cell_length_b 3.558
_cell_length_c 9.313
_cell_angle_alpha 78.99
_cell_angle_beta 78.99
_cell_angle_gamma 60.00
loop_
_atom_site_label
_atom_site_fract_x
_atom_site_fract_y
_atom_site_fract_z
Ni1 0.500 0.500 0.500
Nd1 0.098 0.098 0.707
Nd2 0.902 0.902 0.293
Fe1 0.000 0.000 0.000
```



[8]
A geometry-optimized NdFeNi3 structure. Source: Alexandria via LeMat-Bulk, functional PBE-GGA.

As for the total energy: -5.875 eV/atom. The calculation puts the volume at 17.7 Å³ per atom. The value obtained for the formation energy is 0.2404 eV/atom. The density of states at the Fermi level is 6.568 states/eV/f.u.

```
data_NdFeNi3
_symmetry_space_group_name_H-M 'P 1'
_symmetry_Int_Tables_number 1
_symmetry_space_group_name_Hall 'P 1'
_cell_length_a 4.384
_cell_length_b 7.526
_cell_length_c 7.526
_cell_angle_alpha 134.56
_cell_angle_beta 90.00
_cell_angle_gamma 90.00
loop_
_atom_site_label
_atom_site_fract_x
_atom_site_fract_y
_atom_site_fract_z
Nd1 0.750 0.604 0.396
Nd2 0.250 0.396 0.604
Fe1 0.750 0.843 0.157
Fe2 0.250 0.157 0.843
Ni1 0.750 0.426 0.948
Ni2 0.750 0.052 0.574
Ni3 0.250 0.948 0.426
Ni4 0.250 0.574 0.052
Ni5 0.000 0.000 0.000
Ni6 0.500 0.000 0.000
```